# 1
# PBE-GGA Zn2Cu5Au3, optimized geometry
# - Electronic total energy: -127.5 eV per cell
# - M_tot: 0.000 μB/cell
data_Zn2Cu5Au3
_chemical_formula_sum 'Zn8 Cu20 Au12'
_space_group_name_H-M_alt 'I b a m'
_space_group_IT_number 72
_space_group_name_Hall '-I 2 2c'
_cell_length_a 10.0378
_cell_length_b 12.1918
_cell_length_c 5.1190
_cell_angle_alpha 90.00
_cell_angle_beta 90.00
_cell_angle_gamma 90.00
loop_
_atom_site_label
_atom_site_type_symbol
_atom_site_fract_x
_atom_site_fract_y
_atom_site_fract_z
_atom_site_occupancy
Zn1 Zn 0.1297 0.1583 0.0000 1
Cu1 Cu 0.0000 0.5000 0.2500 1
Cu2 Cu 0.1382 0.3540 0.0000 1
Cu3 Cu 0.2440 0.5000 0.2500 1
Au1 Au 0.0000 0.0000 0.2500 1
Au2 Au 0.1146 0.2848 0.5000 1

***

# 2
# PBE-GGA ZnCu4Au9, optimized geometry
# - Electronic total energy: -94.4 eV per cell
# - M_tot: 0.000 μB/cell
data_ZnCu4Au9
_chemical_formula_sum 'Zn2 Cu8 Au18'
_space_group_name_H-M_alt 'P 63/m m c'
_space_group_IT_number 194
_space_group_name_Hall '-P 6c 2c'
_cell_length_a 7.8705
_cell_length_b 7.8705
_cell_length_c 8.5528
_cell_angle_alpha 90.00
_cell_angle_beta 90.00
_cell_angle_gamma 120.00
loop_
_atom_site_label
_atom_site_type_symbol
_atom_site_fract_x
_atom_site_fract_y
_atom_site_fract_z
_atom_site_occupancy
Zn1 Zn 0.3333 0.6667 0.2500 1
Cu1 Cu 0.0000 0.0000 0.0000 1
Cu2 Cu 0.1058 0.2116 0.7500 1
Au1 Au 0.0749 0.5375 0.7500 1
Au2 Au 0.2021 0.4042 0.0327 1

***

# 3
# PBE-GGA Zn2Cu3Au4, optimized geometry
# - Electronic total energy: -29.0 eV per cell
# - M_tot: 0.000 μB/cell
data_Zn2Cu3Au4
_chemical_formula_sum 'Zn2 Cu3 Au4'
_space_group_name_H-M_alt 'P -1'
_space_group_IT_number 2
_cell_length_a 3.9879
_cell_length_b 4.7169
_cell_length_c 8.3282
_cell_angle_alpha 76.57
_cell_angle_beta 89.87
_cell_angle_gamma 65.17
loop_
_space_group_symop_operation_xyz
'x,y,z'
'-x,-y,-z'
loop_
_atom_site_label
_atom_site_type_symbol
_atom_site_fract_x
_atom_site_fract_y
_atom_site_fract_z
_atom_site_occupancy
Zn1 Zn 0.1778 0.1431 0.2330 1
Cu1 Cu 0.1600 0.1778 0.5472 1
Cu2 Cu 0.5000 0.5000 0.0000 1
Au1 Au 0.1647 0.1709 0.8886 1
Au2 Au 0.4855 0.5294 0.6665 1